ZrTeRuS2 GGA-PBE optimized geometry; raw formation energy = 1.359 eV per atom; raw total energy = -4.49 eV/atom; symmetry = P4/mmm
1.0
4.936 0.000 0.000
0.000 4.936 0.000
0.000 0.000 5.550
Zr Te Ru S
1 1 1 2
direct
0.000 0.000 0.000
0.000 0.000 0.500
0.500 0.500 0.000
0.000 0.500 0.500
0.500 0.000 0.500

LiPaAu4 GGA-PBE optimized geometry; raw total energy = -4.47 eV/atom; symmetry = C2/m; energy of formation = -0.3839 eV/atom; polymorph energy (0 for the lowest one) = 0 meV per atom
1.0
4.791 -1.828 0.000
4.791 1.828 0.000
-2.428 0.000 6.737
Li Pa Au
1 1 4
direct
0.000 0.000 0.000
0.000 0.000 0.500
0.340 0.340 0.152
0.340 0.340 0.699
0.660 0.660 0.301
0.660 0.660 0.848